# NaH6IrPb2

NaH6IrPb2 after structural relaxation (PBE-GGA, Alexandria).

Cell: 5.214 5.214 6.036 Å, 90.00 90.00 120.00°
Fractional positions:
Na  0.000  0.000  0.000
H  0.149  0.297  0.674
H  0.149  0.851  0.674
H  0.297  0.149  0.326
H  0.703  0.851  0.674
H  0.851  0.149  0.326
H  0.851  0.703  0.326
Ir  0.000  0.000  0.500
Pb  0.333  0.667  0.295
Pb  0.667  0.333  0.705

## Properties
VASP energy	-37.366	eV/cell
symmetry	P-3m1, No. 164

***

# Dy4Y3HoSe8

Dy4Y3HoSe8 after structural relaxation (PBE-GGA, Alexandria).

Cell: 8.157 8.157 8.157 Å, 59.98 59.98 59.98°
Fractional positions:
Dy  0.000  0.000  0.000
Dy  0.000  0.500  0.500
Dy  0.500  0.000  0.500
Dy  0.500  0.500  0.000
Y  0.000  0.000  0.500
Y  0.000  0.500  0.000
Y  0.500  0.000  0.000
Ho  0.500  0.500  0.500
Se  0.250  0.250  0.250
Se  0.251  0.251  0.748
Se  0.251  0.748  0.251
Se  0.252  0.749  0.749
Se  0.748  0.251  0.251
Se  0.749  0.252  0.749
Se  0.749  0.749  0.252
Se  0.750  0.750  0.750

## Properties
symmetry	R-3m, No. 166
uncorrected formation energy	-1.746	eV/atom

***

# In3PdW

In3PdW after structural relaxation (PBE-GGA, Alexandria).

Cell: 5.244 5.244 5.244 Å, 90.00 90.00 90.00°
Fractional positions:
In  0.000  0.000  0.500
In  0.000  0.500  0.000
In  0.500  0.000  0.000
Pd  0.500  0.500  0.500
W  0.000  0.000  0.000

## Properties
energy of formation	0.966	eV/atom
symmetry	Pm-3m, No. 221

***

# ZnGaSn2

ZnGaSn2 after structural relaxation (PBE-GGA, Alexandria).

Cell: 3.548 3.548 7.253 Å, 90.00 90.00 90.00°
Fractional positions:
Zn  0.000  0.000  0.000
Ga  0.000  0.000  0.500
Sn  0.500  0.500  0.236
Sn  0.500  0.500  0.764

## Properties
energy of formation	0.098	eV/atom
symmetry	P4/mmm, No. 123

***

# Zr5Bi3

Zr5Bi3 after structural relaxation (PBE-GGA, Alexandria).

Cell: 8.598 8.598 8.598 Å, 96.69 96.69 140.09°
Fractional positions:
Zr  0.075  0.774  0.850
Zr  0.226  0.075  0.301
Zr  0.250  0.750  0.500
Zr  0.274  0.575  0.850
Zr  0.425  0.274  0.699
Zr  0.575  0.726  0.301
Zr  0.726  0.425  0.150
Zr  0.750  0.250  0.500
Zr  0.774  0.925  0.699
Zr  0.925  0.226  0.150
Bi  0.166  0.334  0.500
Bi  0.250  0.250  0.000
Bi  0.334  0.834  0.168
Bi  0.666  0.166  0.832
Bi  0.750  0.750  0.000
Bi  0.834  0.666  0.500

## Properties
energy of formation	-0.293	eV/atom
symmetry	I4/mcm, No. 140

***

# Fe3GeAu

Fe3GeAu after structural relaxation (PBE-GGA, Alexandria).

Cell: 4.409 4.409 4.409 Å, 90.00 90.00 90.00°
Fractional positions:
Fe  0.000  0.000  0.500
Fe  0.000  0.500  0.000
Fe  0.500  0.000  0.000
Ge  0.000  0.000  0.000
Au  0.500  0.500  0.500

## Properties
energy of formation	0.850	eV/atom
symmetry	Pm-3m, No. 221

***

# U3As2

U3As2 after structural relaxation (PBE-GGA, Alexandria).

Cell: 3.776 7.131 7.684 Å, 90.00 90.00 90.00°
Fractional positions:
U  0.000  0.000  0.000
U  0.000  0.224  0.500
U  0.000  0.776  0.500
U  0.500  0.276  0.000
U  0.500  0.500  0.500
U  0.500  0.724  0.000
As  0.000  0.500  0.212
As  0.000  0.500  0.788
As  0.500  0.000  0.288
As  0.500  0.000  0.712

## Properties
energy of formation	-0.418	eV/atom
symmetry	Immm, No. 71

***

# Th2Al2Cd

Th2Al2Cd after structural relaxation (PBE-GGA, Alexandria).

Cell: 4.240 14.015 4.315 Å, 90.00 90.00 90.00°
Fractional positions:
Th  0.000  0.131  0.000
Th  0.000  0.869  0.000
Th  0.500  0.369  0.000
Th  0.500  0.631  0.000
Al  0.000  0.302  0.500
Al  0.000  0.698  0.500
Al  0.500  0.198  0.500
Al  0.500  0.802  0.500
Cd  0.000  0.500  0.500
Cd  0.500  0.000  0.500

## Properties
energy of formation	-0.297	eV/atom
symmetry	Cmmm, No. 65

***

# CaAg4Cl

CaAg4Cl after structural relaxation (PBE-GGA, Alexandria).

Cell: 5.681 5.681 5.681 Å, 60.00 60.00 60.00°
Fractional positions:
Ca  0.000  0.000  0.000
Ag  0.375  0.375  0.375
Ag  0.375  0.375  0.874
Ag  0.375  0.874  0.375
Ag  0.874  0.375  0.375
Cl  0.750  0.750  0.750

## Properties
symmetry	F-43m, No. 216
uncorrected formation energy	-0.259	eV/atom

***

# GdTlInPb

GdTlInPb after structural relaxation (PBE-GGA, Alexandria).

Cell: 7.748 7.748 7.748 Å, 90.00 90.00 90.00°
Fractional positions:
Gd  0.000  0.000  0.000
Gd  0.000  0.500  0.500
Gd  0.500  0.000  0.500
Gd  0.500  0.500  0.000
Tl  0.250  0.250  0.250
Tl  0.250  0.750  0.750
Tl  0.750  0.250  0.750
Tl  0.750  0.750  0.250
In  0.250  0.250  0.750
In  0.250  0.750  0.250
In  0.750  0.250  0.250
In  0.750  0.750  0.750
Pb  0.000  0.000  0.500
Pb  0.000  0.500  0.000
Pb  0.500  0.000  0.000
Pb  0.500  0.500  0.500

## Properties
energy of formation	-0.161	eV/atom
symmetry	F-43m, No. 216

***

# GdPuZn2

GdPuZn2 after structural relaxation (PBE-GGA, Alexandria).

Cell: 7.176 7.176 7.176 Å, 90.00 90.00 90.00°
Fractional positions:
Gd  0.000  0.000  0.000
Gd  0.000  0.500  0.500
Gd  0.500  0.000  0.500
Gd  0.500  0.500  0.000
Pu  0.000  0.000  0.500
Pu  0.000  0.500  0.000
Pu  0.500  0.000  0.000
Pu  0.500  0.500  0.500
Zn  0.250  0.250  0.250
Zn  0.250  0.250  0.750
Zn  0.250  0.750  0.250
Zn  0.250  0.750  0.750
Zn  0.750  0.250  0.250
Zn  0.750  0.250  0.750
Zn  0.750  0.750  0.250
Zn  0.750  0.750  0.750

## Properties
energy of formation	-0.180	eV/atom
symmetry	Fm-3m, No. 225

***

# Ac2NpMo2N6

Ac2NpMo2N6 after structural relaxation (PBE-GGA, Alexandria).

Cell: 6.954 6.954 6.954 Å, 50.72 50.72 50.72°
Fractional positions:
Ac  0.208  0.208  0.208
Ac  0.792  0.792  0.792
Np  0.000  0.000  0.000
Mo  0.400  0.400  0.400
Mo  0.600  0.600  0.600
N  0.227  0.751  0.751
N  0.249  0.249  0.773
N  0.249  0.773  0.249
N  0.751  0.227  0.751
N  0.751  0.751  0.227
N  0.773  0.249  0.249

## Properties
symmetry	R-3m, No. 166
uncorrected formation energy	-0.753	eV/atom

***

Number 1: D(E_F) 0.1 states/eV/cell. Number 2: D(E_F) 10.7 states/eV/cell. Number 3: D(E_F) 4.1 states/eV/cell. Number 4: D(E_F) 1.7 states/eV/cell. Number 5: D(E_F) 15.7 states/eV/cell. Number 6: D(E_F) 8.3 states/eV/cell. Number 7: D(E_F) 19.8 states/eV/cell. Number 8: D(E_F) 5.1 states/eV/cell. Number 9: D(E_F) 3.0 states/eV/cell. Number 10: D(E_F) 18.0 states/eV/cell. Number 11: D(E_F) 24.5 states/eV/cell. Number 12: D(E_F) 8.5 states/eV/cell.